No. 1
Crystalline K4Sm3TiO8 at its relaxed geometry, computed with PBE-GGA.

Cell lengths 6.9578, 7.4293, 6.9739 Å; angles 118.00, 119.92, 90.00 degrees
Each line ends with the local moment (μB).
Sites, in units of the cell vectors:
K  0.5000  0.0000  0.5000  0.00
Sm  0.5000  0.5000  0.0000  0.01
O  0.7777  0.3120  0.5553  0.00
K  0.0000  0.0000  0.5000  0.00
O  0.2467  0.3207  0.0332  -0.01
Ti  0.0000  0.5000  0.0000  0.81
O  0.7533  0.6793  0.9668  -0.01
Sm  0.0000  0.5000  0.5000  0.01
Sm  0.5000  0.5000  0.5000  0.01
O  0.7311  0.6940  0.4623  0.00
O  0.7864  0.3207  0.0332  -0.01
K  0.0000  0.0000  0.0000  0.00
K  0.5000  0.0000  0.0000  0.00
O  0.2136  0.6793  0.9668  -0.01
O  0.2223  0.6880  0.4447  0.00
O  0.2689  0.3060  0.5377  0.00

Summary:
As for the total magnetic moment: 1.01 μB/cell. Its formation energy without anion corrections is -242.4 kJ/mol of atoms. The space-group type is No. 12. The uncorrected energy is -106.30 eV for the cell shown.

***

No. 2
Crystalline KSmTiO4 at its relaxed geometry, computed with PBE-GGA.

Cell lengths 5.4199, 5.5048, 13.2879 Å; angles 90.00, 90.00, 90.00 degrees
Sites, in units of the cell vectors:
O  0.7500  0.4406  0.9359
O  0.0000  0.7500  0.7920
K  0.7500  0.5156  0.4052
Sm  0.7500  0.5211  0.1026
O  0.7500  0.9406  0.0641
O  0.2500  0.0594  0.9359
O  0.2500  0.9750  0.6180
O  0.0000  0.7500  0.2288
O  0.2500  0.5594  0.0641
K  0.2500  0.9844  0.4052
O  0.5000  0.7500  0.7920
O  0.5000  0.2500  0.7712
Sm  0.2500  0.9789  0.1026
O  0.2500  0.4750  0.3820
O  0.0000  0.2500  0.2080
O  0.5000  0.7500  0.2288
Sm  0.7500  0.0211  0.8974
Ti  0.7500  0.0056  0.2495
Ti  0.2500  0.4944  0.2495
Sm  0.2500  0.4789  0.8974
O  0.7500  0.0250  0.3820
K  0.2500  0.4844  0.5948
O  0.7500  0.5250  0.6180
K  0.7500  0.0156  0.5948
O  0.5000  0.2500  0.2080
Ti  0.2500  0.9944  0.7505
O  0.0000  0.2500  0.7712
Ti  0.7500  0.5056  0.7505

Summary:
As for the total magnetic moment: 0.00 μB/cell. The energy above the lowest structure with this stoichiometry comes out at 0 meV per atom. Its formation energy without anion corrections is -286.8 kJ/mol of atoms. The space-group type is No. 57. The uncorrected energy is -217.39 eV for the cell shown.

***

No. 3
Crystalline K3SmTl2O6 at its relaxed geometry, computed with PBE-GGA.

Cell lengths 6.0868, 6.0868, 6.6037 Å; angles 98.80, 98.80, 120.01 degrees
Sites, in units of the cell vectors:
K  0.5000  0.5000  0.5000
O  0.9343  0.5993  0.8027
K  0.8292  0.1708  0.5000
Tl  0.3337  0.6663  0.0000
K  0.1708  0.8292  0.5000
O  0.0657  0.4007  0.1973
O  0.5993  0.9343  0.8027
O  0.7309  0.7309  0.1983
Sm  0.0000  0.0000  0.0000
O  0.4007  0.0657  0.1973
Tl  0.6663  0.3337  0.0000
O  0.2691  0.2691  0.8017

Summary:
As for the total magnetic moment: 0.00 μB/cell. Its formation energy without anion corrections is -150.4 kJ/mol of atoms. The space-group type is No. 12. The uncorrected energy is -61.20 eV for the cell shown.

***

No. 4
Crystalline K4Sm3TlO8 at its relaxed geometry, computed with PBE-GGA.

Cell lengths 7.1198, 7.5283, 7.1199 Å; angles 118.24, 120.00, 90.00 degrees
Sites, in units of the cell vectors:
K  0.5000  0.0000  0.0000
O  0.7664  0.3044  0.5328
Tl  0.0000  0.5000  0.0000
O  0.7291  0.6872  0.4582
O  0.2715  0.3044  0.0379
Sm  0.0000  0.5000  0.5000
O  0.2336  0.6956  0.9621
K  0.5000  0.0000  0.5000
O  0.2336  0.6956  0.4672
K  0.0000  0.0000  0.0000
K  0.0000  0.0000  0.5000
O  0.2709  0.3128  0.5418
O  0.7285  0.6956  0.9621
Sm  0.5000  0.5000  0.0000
O  0.7664  0.3044  0.0379
Sm  0.5000  0.5000  0.5000

Summary:
As for the total magnetic moment: 0.00 μB/cell. Its formation energy without anion corrections is -216.0 kJ/mol of atoms. The space-group type is No. 166. The uncorrected energy is -96.40 eV for the cell shown.

***

No. 5
Crystalline K2SmTlO4 at its relaxed geometry, computed with PBE-GGA.

Cell lengths 3.5402, 6.1084, 6.6549 Å; angles 108.75, 90.00, 90.00 degrees
Sites, in units of the cell vectors:
K  0.5000  0.0000  0.5000
K  0.0000  0.5000  0.5000
O  0.5000  0.7715  0.8050
Sm  0.5000  0.5000  0.0000
O  0.0000  0.7232  0.1983
Tl  0.0000  0.0000  0.0000
O  0.0000  0.2768  0.8017
O  0.5000  0.2285  0.1950

Summary:
As for the total magnetic moment: 0.00 μB/cell. Its formation energy without anion corrections is -176.4 kJ/mol of atoms. The space-group type is No. 10. The uncorrected energy is -43.74 eV for the cell shown.

***

No. 6
Crystalline KSmTlO3 at its relaxed geometry, computed with PBE-GGA.

Cell lengths 3.5850, 11.4685, 7.0792 Å; angles 109.68, 90.00, 90.00 degrees
Sites, in units of the cell vectors:
O  0.7500  0.4876  0.1709
Sm  0.7500  0.3786  0.8278
Sm  0.2500  0.6214  0.1722
K  0.2500  0.3124  0.2555
O  0.7500  0.7476  0.1398
O  0.7500  0.2246  0.4831
O  0.2500  0.5124  0.8291
Tl  0.7500  0.8817  0.4461
Tl  0.2500  0.1183  0.5539
O  0.2500  0.2524  0.8602
K  0.7500  0.6876  0.7445
O  0.2500  0.7754  0.5169

Summary:
As for the total magnetic moment: 0.00 μB/cell. Its formation energy without anion corrections is -184.7 kJ/mol of atoms. The space-group type is No. 11. The uncorrected energy is -69.08 eV for the cell shown.

***

No. 7
Crystalline K3SmTm2O6 at its relaxed geometry, computed with PBE-GGA.

Cell lengths 6.0231, 6.0231, 6.5746 Å; angles 98.78, 98.78, 120.00 degrees
Sites, in units of the cell vectors:
O  0.5944  0.9384  0.8153
Sm  0.0000  0.0000  0.0000
K  0.5000  0.5000  0.5000
O  0.0616  0.4056  0.1847
O  0.2824  0.2824  0.8150
K  0.1679  0.8321  0.5000
K  0.8321  0.1679  0.5000
O  0.4056  0.0616  0.1847
Tm  0.3333  0.6667  0.0000
O  0.9384  0.5944  0.8153
O  0.7176  0.7176  0.1850
Tm  0.6667  0.3333  0.0000

Summary:
As for the total magnetic moment: 0.00 μB/cell. Its formation energy without anion corrections is -266.6 kJ/mol of atoms. The space-group type is No. 12. The uncorrected energy is -79.86 eV for the cell shown.

***

No. 8
Crystalline K2SmU3O12 at its relaxed geometry, computed with PBE-GGA.

Cell lengths 7.9665, 7.9665, 7.9665 Å; angles 61.53, 61.53, 61.53 degrees
Sites, in units of the cell vectors:
O  0.6951  0.0554  0.6951
O  0.9446  0.3049  0.3049
Sm  0.0000  0.0000  0.0000
O  0.3049  0.3049  0.9446
O  0.3438  0.9274  0.9274
O  0.0554  0.6951  0.6951
K  0.6773  0.6773  0.6773
U  0.5000  0.0000  0.0000
O  0.3049  0.9446  0.3049
O  0.6562  0.0726  0.0726
O  0.9274  0.3438  0.9274
K  0.3227  0.3227  0.3227
O  0.9274  0.9274  0.3438
O  0.0726  0.0726  0.6562
U  0.0000  0.5000  0.0000
O  0.6951  0.6951  0.0554
U  0.0000  0.0000  0.5000
O  0.0726  0.6562  0.0726

Summary:
As for the total magnetic moment: 0.00 μB/cell. Its formation energy without anion corrections is -275.7 kJ/mol of atoms. The space-group type is No. 166. The uncorrected energy is -151.71 eV for the cell shown.

***

No. 9
Crystalline K3Sm2UO6 at its relaxed geometry, computed with PBE-GGA.

Cell lengths 6.2056, 6.2056, 6.6473 Å; angles 98.98, 98.98, 119.98 degrees
Each line ends with the local moment (μB).
Sites, in units of the cell vectors:
O  0.9376  0.6174  0.8138  -0.03
O  0.3826  0.0624  0.1862  -0.03
K  0.5000  0.5000  0.5000  0.02
O  0.6174  0.9376  0.8138  -0.03
Sm  0.3335  0.6665  0.0000  0.15
U  0.0000  0.0000  0.0000  2.22
O  0.7415  0.7415  0.1865  -0.02
K  0.1680  0.8320  0.5000  0.02
K  0.8320  0.1680  0.5000  0.02
Sm  0.6665  0.3335  0.0000  0.15
O  0.2585  0.2585  0.8135  -0.02
O  0.0624  0.3826  0.1862  -0.03

Summary:
As for the total magnetic moment: 2.99 μB/cell. Its formation energy without anion corrections is -241.2 kJ/mol of atoms. The space-group type is No. 12. The uncorrected energy is -83.76 eV for the cell shown.

***

No. 10
Crystalline K3SmU2O9 at its relaxed geometry, computed with PBE-GGA.

Cell lengths 6.1622, 6.1622, 7.5484 Å; angles 90.00, 90.00, 120.00 degrees
Sites, in units of the cell vectors:
O  0.1766  0.3532  0.3189
O  0.8234  0.6468  0.6811
O  0.6468  0.8234  0.3189
O  0.3532  0.1766  0.6811
O  0.5000  0.0000  0.0000
K  0.0000  0.0000  0.0000
O  0.8234  0.1766  0.6811
K  0.3333  0.6667  0.6620
O  0.5000  0.5000  0.0000
O  0.0000  0.5000  0.0000
U  0.3333  0.6667  0.1645
Sm  0.0000  0.0000  0.5000
U  0.6667  0.3333  0.8355
K  0.6667  0.3333  0.3380
O  0.1766  0.8234  0.3189

Summary:
As for the total magnetic moment: 0.00 μB/cell. Its formation energy without anion corrections is -277.6 kJ/mol of atoms. The space-group type is No. 164. The uncorrected energy is -118.37 eV for the cell shown.